Ho2GaS4: optimized geometry, PBE.

The raw formation energy is -10.42 eV per formula unit. The raw total energy is -5.588 eV/atom. The value obtained for the total magnetization is 0.00 μB per formula unit.

Unit cell a=13.956 b=3.895 c=6.896 alpha=90.00 beta=118.34 gamma=90.00
Space group C2/m (No. 12)
One atom of each set of equivalent atoms:
Ho 0.226 0.000 0.217 (multiplicity 4)
Ga 0.000 0.500 0.500 (multiplicity 2)
S 0.121 0.500 0.931 (multiplicity 4)
S 0.136 0.000 0.491 (multiplicity 4)

Ho2Ga2S7: optimized geometry, PBE.

The raw formation energy is -11.85 eV per formula unit. The raw total energy is -5.086 eV/atom. The value obtained for the total magnetization is 0.00 μB per formula unit.

Unit cell a=7.956 b=11.665 c=6.564 alpha=90.00 beta=112.47 gamma=90.00
Space group C2/m (No. 12)
One atom of each set of equivalent atoms:
Ho 0.000 0.187 0.000 (multiplicity 4)
Ga 0.237 0.500 0.359 (multiplicity 4)
S 0.000 0.500 0.500 (multiplicity 2)
S 0.174 0.000 0.261 (multiplicity 4)
S 0.229 0.168 0.780 (multiplicity 8)

Ho4GaS3: optimized geometry, PBE.

The raw formation energy is -13.25 eV per formula unit. The raw total energy is -5.871 eV/atom. The value obtained for the total magnetization is 0.00 μB per formula unit.

Unit cell a=5.592 b=5.592 c=5.592 alpha=90.00 beta=90.00 gamma=90.00
Space group Pm-3m (No. 221)
One atom of each set of equivalent atoms:
Ho 0.000 0.000 0.000 (multiplicity 1)
Ho 0.000 0.500 0.500 (multiplicity 3)
Ga 0.500 0.500 0.500 (multiplicity 1)
S 0.000 0.000 0.500 (multiplicity 3)

Ho5GaS4: optimized geometry, PBE.

The raw formation energy is -17.23 eV per formula unit. The raw total energy is -5.966 eV/atom. The value obtained for the total magnetization is 0.00 μB per formula unit.

Unit cell a=8.837 b=8.837 c=5.565 alpha=90.00 beta=90.00 gamma=90.00
Space group I4/m (No. 87)
One atom of each set of equivalent atoms:
Ho 0.000 0.000 0.000 (multiplicity 2)
Ho 0.100 0.699 0.500 (multiplicity 8)
Ga 0.000 0.000 0.500 (multiplicity 2)
S 0.100 0.698 0.000 (multiplicity 8)

Ho4Ga2S: optimized geometry, PBE.

The raw formation energy is -6.48 eV per formula unit. The raw total energy is -4.996 eV/atom. The value obtained for the total magnetization is 0.00 μB per formula unit.

Unit cell a=11.837 b=4.100 c=8.454 alpha=90.00 beta=124.47 gamma=90.00
Space group C2/m (No. 12)
One atom of each set of equivalent atoms:
Ho 0.087 0.000 0.372 (multiplicity 4)
Ho 0.175 0.500 0.085 (multiplicity 4)
Ga 0.122 0.500 0.664 (multiplicity 4)
S 0.000 0.000 0.000 (multiplicity 2)

Ho2GaS: optimized geometry, PBE.

The raw formation energy is -3.09 eV per formula unit. The raw total energy is -4.851 eV/atom. The value obtained for the total magnetization is 0.00 μB per formula unit.

Unit cell a=3.6494 b=3.6494 c=27.6617 alpha=90.00 beta=90.00 gamma=120.00
Space group R-3m (No. 166, hexagonal axes)
One atom of each set of equivalent atoms:
Ho 0.0000 0.0000 0.1069 (multiplicity 6)
Ga 0.0000 0.0000 0.0000 (multiplicity 3)
S 0.0000 0.0000 0.5000 (multiplicity 3)

Ho2GaS: optimized geometry, PBE.

The raw formation energy is -5.31 eV per formula unit. The raw total energy is -5.404 eV/atom. The value obtained for the total magnetization is 0.00 μB per formula unit.

Unit cell a=4.126 b=21.800 c=3.938 alpha=90.00 beta=90.00 gamma=90.00
Space group Cmcm (No. 63)
One atom of each set of equivalent atoms:
Ho 0.000 0.069 0.250 (multiplicity 4)
Ho 0.000 0.317 0.250 (multiplicity 4)
Ga 0.000 0.460 0.250 (multiplicity 4)
S 0.000 0.193 0.250 (multiplicity 4)

Ho4Ga2SeS: optimized geometry, PBE.

The raw formation energy is -9.65 eV per formula unit. The raw total energy is -5.203 eV/atom. The value obtained for the total magnetization is 0.00 μB per formula unit.

Unit cell a=6.733 b=3.887 c=7.580 alpha=90.00 beta=107.22 gamma=90.00
Space group P2/m (No. 10)
One atom of each set of equivalent atoms:
Ho 0.239 0.000 0.236 (multiplicity 2)
Ho 0.248 0.500 0.759 (multiplicity 2)
Ga 0.000 0.000 0.500 (multiplicity 1)
Ga 0.500 0.500 0.500 (multiplicity 1)
Se 0.500 0.000 0.000 (multiplicity 1)
S 0.000 0.500 0.000 (multiplicity 1)

Ho4GaSeS2: optimized geometry, PBE.

The raw formation energy is -12.60 eV per formula unit. The raw total energy is -5.710 eV/atom. The value obtained for the total magnetization is 0.00 μB per formula unit.

Unit cell a=6.969 b=3.918 c=7.017 alpha=90.00 beta=108.76 gamma=90.00
Space group P2/m (No. 10)
One atom of each set of equivalent atoms:
Ho 0.241 0.000 0.237 (multiplicity 2)
Ho 0.243 0.500 0.749 (multiplicity 2)
Ga 0.500 0.000 0.000 (multiplicity 1)
Se 0.500 0.500 0.500 (multiplicity 1)
S 0.000 0.000 0.500 (multiplicity 1)
S 0.000 0.500 0.000 (multiplicity 1)

Ho8GaSe4S3: optimized geometry, PBE.

The raw formation energy is -27.28 eV per formula unit. The raw total energy is -5.828 eV/atom. The value obtained for the total magnetization is 0.00 μB per formula unit.

Unit cell a=7.9773 b=7.9773 c=19.9048 alpha=90.00 beta=90.00 gamma=120.00
Space group R-3m (No. 166, hexagonal axes)
One atom of each set of equivalent atoms:
Ho 0.0000 0.0000 0.2422 (multiplicity 6)
Ho 0.0002 0.5001 0.2441 (multiplicity 18)
Ga 0.0000 0.0000 0.5000 (multiplicity 3)
Se 0.0000 0.0000 0.0000 (multiplicity 3)
Se 0.0000 0.5000 0.0000 (multiplicity 9)
S 0.0000 0.5000 0.5000 (multiplicity 9)

Sr2HoGaS5: optimized geometry, PBE.

The raw formation energy is -15.72 eV per formula unit. The raw total energy is -5.259 eV/atom. The value obtained for the total magnetization is 0.00 μB per formula unit.

Unit cell a=3.946 b=17.880 c=12.386 alpha=90.00 beta=90.00 gamma=90.00
Space group Cmc2_1 (No. 36)
One atom of each set of equivalent atoms:
Sr 0.000 0.117 0.000 (multiplicity 4)
Sr 0.000 0.126 0.641 (multiplicity 4)
Ho 0.000 0.208 0.344 (multiplicity 4)
Ga 0.000 0.443 0.750 (multiplicity 4)
S 0.000 0.046 0.355 (multiplicity 4)
S 0.000 0.293 0.991 (multiplicity 4)
S 0.000 0.318 0.690 (multiplicity 4)
S 0.000 0.354 0.324 (multiplicity 4)
S 0.000 0.498 0.091 (multiplicity 4)

Ho8Ga3Te4S: optimized geometry, PBE.

The raw formation energy is -17.85 eV per formula unit. The raw total energy is -5.015 eV/atom. The value obtained for the total magnetization is 0.00 μB per formula unit.

Unit cell a=8.2840 b=8.2840 c=21.5664 alpha=90.00 beta=90.00 gamma=120.00
Space group R-3m (No. 166, hexagonal axes)
One atom of each set of equivalent atoms:
Ho 0.0000 0.0000 0.2439 (multiplicity 6)
Ho 0.0005 0.5002 0.2407 (multiplicity 18)
Ga 0.0000 0.5000 0.5000 (multiplicity 9)
Te 0.0000 0.0000 0.0000 (multiplicity 3)
Te 0.0000 0.5000 0.0000 (multiplicity 9)
S 0.0000 0.0000 0.5000 (multiplicity 3)